# PBE-GGA LaAgI2O, optimized geometry
data_LaAgI2O
_cell_length_a 6.524
_cell_length_b 6.524
_cell_length_c 4.300
_cell_angle_alpha 90.00
_cell_angle_beta 90.00
_cell_angle_gamma 90.00
_symmetry_space_group_name_H-M 'P 1'
_symmetry_Int_Tables_number 1
loop_
_symmetry_equiv_pos_as_xyz
'x,y,z'
loop_
_atom_site_label
_atom_site_type_symbol
_atom_site_fract_x
_atom_site_fract_y
_atom_site_fract_z
O1 O 0.000 0.000 0.500
I1 I 0.500 0.000 0.000
Ag1 Ag 0.500 0.500 0.500
La1 La 0.000 0.000 0.000
I2 I 0.000 0.500 0.000
# V: 183 Å³/f.u.
# Raw formation energy: -5.91 eV per formula unit
# SG: P4/mmm

***

# PBE-GGA LaZn2AsF, optimized geometry
data_LaZn2AsF
_cell_length_a 5.869
_cell_length_b 4.387
_cell_length_c 5.869
_cell_angle_alpha 90.00
_cell_angle_beta 90.00
_cell_angle_gamma 90.00
_symmetry_space_group_name_H-M 'P 1'
_symmetry_Int_Tables_number 1
loop_
_symmetry_equiv_pos_as_xyz
'x,y,z'
loop_
_atom_site_label
_atom_site_type_symbol
_atom_site_fract_x
_atom_site_fract_y
_atom_site_fract_z
Zn1 Zn 0.500 0.000 0.000
F1 F 0.000 0.500 0.000
As1 As 0.500 0.500 0.500
Zn2 Zn 0.000 0.000 0.500
La1 La 0.000 0.000 0.000
# V: 151 Å³/f.u.
# Raw formation energy: -1.74 eV per formula unit
# SG: P4/mmm

***

# PBE-GGA Nd2TlIr, optimized geometry
data_Nd2TlIr
_cell_length_a 3.564
_cell_length_b 3.564
_cell_length_c 8.347
_cell_angle_alpha 90.00
_cell_angle_beta 90.00
_cell_angle_gamma 90.00
_symmetry_space_group_name_H-M 'P 1'
_symmetry_Int_Tables_number 1
loop_
_symmetry_equiv_pos_as_xyz
'x,y,z'
loop_
_atom_site_label
_atom_site_type_symbol
_atom_site_fract_x
_atom_site_fract_y
_atom_site_fract_z
Ir1 Ir 0.500 0.500 0.000
Nd1 Nd 0.000 0.000 0.795
Nd2 Nd 0.000 0.000 0.205
Tl1 Tl 0.500 0.500 0.500
# V: 106 Å³/f.u.
# Energy relative to the elements: -0.485 eV per atom
# SG: P4/mmm

***

# PBE-GGA CrSbTe2Mo, optimized geometry
data_CrSbTe2Mo
_cell_length_a 5.332
_cell_length_b 5.332
_cell_length_c 5.245
_cell_angle_alpha 90.00
_cell_angle_beta 90.00
_cell_angle_gamma 90.00
_symmetry_space_group_name_H-M 'P 1'
_symmetry_Int_Tables_number 1
loop_
_symmetry_equiv_pos_as_xyz
'x,y,z'
loop_
_atom_site_label
_atom_site_type_symbol
_atom_site_fract_x
_atom_site_fract_y
_atom_site_fract_z
Cr1 Cr 0.500 0.500 0.500
Te1 Te 0.000 0.500 0.000
Te2 Te 0.500 0.000 0.000
Mo1 Mo 0.000 0.000 0.000
Sb1 Sb 0.000 0.000 0.500
# V: 149 Å³/f.u.
# Raw formation energy: 4.04 eV per formula unit
# SG: P4/mmm

***

# PBE-GGA PmMn2CrN4, optimized geometry
data_PmMn2CrN4
_cell_length_a 3.218
_cell_length_b 5.830
_cell_length_c 9.966
_cell_angle_alpha 90.00
_cell_angle_beta 90.00
_cell_angle_gamma 106.02
_symmetry_space_group_name_H-M 'P 1'
_symmetry_Int_Tables_number 1
loop_
_symmetry_equiv_pos_as_xyz
'x,y,z'
loop_
_atom_site_label
_atom_site_type_symbol
_atom_site_fract_x
_atom_site_fract_y
_atom_site_fract_z
Cr1 Cr 0.186 0.372 0.250
Pm1 Pm 0.921 0.841 0.250
N1 N 0.000 0.000 0.000
Mn1 Mn 0.382 0.764 0.541
N2 N 0.000 0.000 0.500
N3 N 0.284 0.568 0.114
N4 N 0.716 0.432 0.886
Mn2 Mn 0.618 0.236 0.041
Cr2 Cr 0.814 0.628 0.750
N5 N 0.591 0.182 0.250
Mn3 Mn 0.382 0.764 0.959
N6 N 0.409 0.818 0.750
Pm2 Pm 0.079 0.159 0.750
N7 N 0.284 0.568 0.386
Mn4 Mn 0.618 0.236 0.459
N8 N 0.716 0.432 0.614
# V: 90 Å³/f.u.
# Raw formation energy: -3.84 eV per formula unit
# SG: Cmcm

***

# PBE-GGA CdGa2Cl4, optimized geometry
data_CdGa2Cl4
_cell_length_a 4.055
_cell_length_b 8.272
_cell_length_c 12.027
_cell_angle_alpha 90.00
_cell_angle_beta 90.00
_cell_angle_gamma 90.00
_symmetry_space_group_name_H-M 'P 1'
_symmetry_Int_Tables_number 1
loop_
_symmetry_equiv_pos_as_xyz
'x,y,z'
loop_
_atom_site_label
_atom_site_type_symbol
_atom_site_fract_x
_atom_site_fract_y
_atom_site_fract_z
Cd1 Cd 0.000 0.000 0.000
Cl1 Cl 0.000 0.129 0.801
Cl2 Cl 0.000 0.371 0.301
Cl3 Cl 0.500 0.194 0.068
Cd2 Cd 0.000 0.500 0.500
Cl4 Cl 0.000 0.629 0.699
Cl5 Cl 0.500 0.806 0.932
Cl6 Cl 0.500 0.306 0.568
Cl7 Cl 0.500 0.694 0.432
Ga1 Ga 0.500 0.608 0.206
Ga2 Ga 0.500 0.392 0.794
Ga3 Ga 0.500 0.108 0.294
Cl8 Cl 0.000 0.871 0.199
Ga4 Ga 0.500 0.892 0.706
# V: 202 Å³/f.u.
# Raw formation energy: -6.07 eV per formula unit
# SG: Pbam

***

# PBE-GGA DyNbO4, optimized geometry
data_DyNbO4
_cell_length_a 7.095
_cell_length_b 7.095
_cell_length_c 7.228
_cell_angle_alpha 74.26
_cell_angle_beta 74.26
_cell_angle_gamma 32.90
_symmetry_space_group_name_H-M 'P 1'
_symmetry_Int_Tables_number 1
loop_
_symmetry_equiv_pos_as_xyz
'x,y,z'
loop_
_atom_site_label
_atom_site_type_symbol
_atom_site_fract_x
_atom_site_fract_y
_atom_site_fract_z
O1 O 0.624 0.624 0.308
Nb1 Nb 0.902 0.902 0.708
O2 O 0.241 0.241 0.361
O3 O 0.759 0.759 0.639
Dy1 Dy 0.804 0.804 0.289
O4 O 0.133 0.133 0.027
O5 O 0.376 0.376 0.692
Dy2 Dy 0.196 0.196 0.711
O6 O 0.049 0.049 0.633
O7 O 0.867 0.867 0.973
O8 O 0.951 0.951 0.367
Nb2 Nb 0.098 0.098 0.292
# V: 95 Å³/f.u.
# Raw formation energy: -18.24 eV per formula unit
# SG: C2/m

***

# PBE-GGA SmEr4Tm3, optimized geometry
data_SmEr4Tm3
_cell_length_a 3.518
_cell_length_b 7.850
_cell_length_c 10.535
_cell_angle_alpha 81.38
_cell_angle_beta 70.49
_cell_angle_gamma 63.33
_symmetry_space_group_name_H-M 'P 1'
_symmetry_Int_Tables_number 1
loop_
_symmetry_equiv_pos_as_xyz
'x,y,z'
loop_
_atom_site_label
_atom_site_type_symbol
_atom_site_fract_x
_atom_site_fract_y
_atom_site_fract_z
Tm1 Tm 0.500 0.000 0.500
Er1 Er 0.000 0.752 0.748
Er2 Er 0.000 0.249 0.252
Tm2 Tm 0.000 0.500 0.500
Tm3 Tm 0.000 0.000 0.000
Er3 Er 0.504 0.249 0.748
Er4 Er 0.496 0.752 0.252
Sm1 Sm 0.500 0.500 0.000
# V: 245 Å³/f.u.
# Energy relative to the elements: 0.026 eV per atom
# SG: Pmmm

***

# PBE-GGA NaZnAs, optimized geometry
data_NaZnAs
_cell_length_a 4.190
_cell_length_b 4.190
_cell_length_c 7.126
_cell_angle_alpha 90.00
_cell_angle_beta 90.00
_cell_angle_gamma 90.00
_symmetry_space_group_name_H-M 'P 1'
_symmetry_Int_Tables_number 1
loop_
_symmetry_equiv_pos_as_xyz
'x,y,z'
loop_
_atom_site_label
_atom_site_type_symbol
_atom_site_fract_x
_atom_site_fract_y
_atom_site_fract_z
As1 As 0.500 0.000 0.782
Zn1 Zn 0.000 0.000 0.000
Na1 Na 0.500 0.000 0.351
Na2 Na 0.000 0.500 0.649
Zn2 Zn 0.500 0.500 0.000
As2 As 0.000 0.500 0.218
# V: 63 Å³/f.u.
# Energy relative to the elements: -0.418 eV per atom
# SG: P4/nmm

***

# PBE-GGA La4PrPb, optimized geometry
data_La4PrPb
_cell_length_a 6.352
_cell_length_b 7.159
_cell_length_c 10.867
_cell_angle_alpha 90.00
_cell_angle_beta 124.79
_cell_angle_gamma 90.00
_symmetry_space_group_name_H-M 'P 1'
_symmetry_Int_Tables_number 1
loop_
_symmetry_equiv_pos_as_xyz
'x,y,z'
loop_
_atom_site_label
_atom_site_type_symbol
_atom_site_fract_x
_atom_site_fract_y
_atom_site_fract_z
La1 La 0.990 0.750 0.327
La2 La 0.010 0.250 0.673
La3 La 0.502 0.507 0.658
Pr1 Pr 0.500 0.000 0.000
Pb1 Pb 0.994 0.250 0.340
La4 La 0.498 0.007 0.342
Pr2 Pr 0.500 0.500 0.000
La5 La 0.986 0.250 0.013
Pb2 Pb 0.006 0.750 0.660
La6 La 0.502 0.993 0.658
La7 La 0.014 0.750 0.987
La8 La 0.498 0.493 0.342
# V: 203 Å³/f.u.
# Energy relative to the elements: -0.210 eV per atom
# SG: P2_1/m

***

# PBE-GGA Li2CrCo, optimized geometry
data_Li2CrCo
_cell_length_a 5.036
_cell_length_b 5.036
_cell_length_c 2.315
_cell_angle_alpha 90.00
_cell_angle_beta 90.00
_cell_angle_gamma 124.57
_symmetry_space_group_name_H-M 'P 1'
_symmetry_Int_Tables_number 1
loop_
_symmetry_equiv_pos_as_xyz
'x,y,z'
loop_
_atom_site_label
_atom_site_type_symbol
_atom_site_fract_x
_atom_site_fract_y
_atom_site_fract_z
Li1 Li 0.000 0.000 0.000
Cr1 Cr 0.000 0.500 0.500
Co1 Co 0.500 0.000 0.500
Li2 Li 0.500 0.500 0.000
# V: 48 Å³/f.u.
# Energy relative to the elements: 0.427 eV per atom
# SG: Cmmm

***

# PBE-GGA Sc2BeOs, optimized geometry
data_Sc2BeOs
_cell_length_a 4.843
_cell_length_b 4.843
_cell_length_c 4.843
_cell_angle_alpha 130.47
_cell_angle_beta 130.47
_cell_angle_gamma 72.66
_symmetry_space_group_name_H-M 'P 1'
_symmetry_Int_Tables_number 1
loop_
_symmetry_equiv_pos_as_xyz
'x,y,z'
loop_
_atom_site_label
_atom_site_type_symbol
_atom_site_fract_x
_atom_site_fract_y
_atom_site_fract_z
Os1 Os 0.750 0.250 0.500
Be1 Be 0.500 0.500 0.000
Sc1 Sc 0.000 0.000 0.000
Sc2 Sc 0.250 0.750 0.500
# V: 64 Å³/f.u.
# Energy relative to the elements: -0.073 eV per atom
# SG: I-4m2